A relaxed structure of LaNd2CdO. Source: the Alexandria database, functional PBE-GGA.

**Total energy**: -5.349 eV per atom
**Total magnetization**: 0.00 μB/atom

abc: 5.051 5.015 5.015
angles: 90.00 90.00 90.00
Atoms (fractional coordinates):
Nd1 0.000 0.000 0.500
Nd2 0.000 0.500 0.000
Cd1 0.500 0.500 0.500
La1 0.500 0.000 0.000
O1 0.000 0.000 0.000